3
Lattice="3.9010 0.0000 0.0000 -1.9505 3.3784 0.0000 0.0000 0.0000 2.7454" Properties=species:S:1:pos:R:3 comment="PBE BeVZn, relaxed" m_tot_mub_per_cell=0.00 vol_a3_per_cell=36.2 dos_ef_per_ev_atom=0.6693 ef_ev_per_atom=0.06 spacegroup=P-6m2 e_tot_ev_per_cell=-13.95 relative_energy_ev_per_atom=0.065 pbc="T T T"
Be 0.0000 0.0000 0.0000
V 1.9505 1.1261 1.3727
Zn 0.0000 2.2522 0.0000